Below is CsTl4Pd2 after structural relaxation, with properties calculated at the PBE level.

Lattice parameters (Å, degrees): 9.4039 9.4039 4.4451 90.00 90.00 90.00
Closest atoms and distances in Å follow each position.
Space group P4_2/mnm (No. 136)
One atom of each set of equivalent atoms:
Cs 0.0000 0.0000 0.0000 x2  6 Pd 3.59-3.78, 8 Tl 3.83
Tl 0.0740 0.3234 0.5000 x8  3 Pd 2.93-2.99
Pd 0.2301 0.7699 0.5000 x4  6 Tl 2.93-2.99

Computed properties:
crystal system	tetragonal
ΔE to the lowest computed polymorph	0.000	eV per atom
ΔH_f (0 K)	-0.093	eV per atom
uncorrected energy	-3.051	eV/atom

***

Below is GaCoSiOs after structural relaxation, with properties calculated at the PBE level.

Lattice parameters (Å, degrees): 5.8662 5.8662 5.8662 90.00 90.00 90.00
Closest atoms and distances in Å follow each position.
Space group F-43m (No. 216)
One atom of each set of equivalent atoms:
Ga 0.0000 0.0000 0.0000 x4  4 Co 2.54, 4 Os 2.54
Co 0.2500 0.2500 0.7500 x4  4 Si 2.54, 4 Ga 2.54
Si 0.0000 0.0000 0.5000 x4  4 Co 2.54, 4 Os 2.54
Os 0.2500 0.2500 0.2500 x4  4 Si 2.54, 4 Ga 2.54

Computed properties:
crystal system	cubic
formation energy without anion corrections	-0.221	eV per atom
uncorrected energy	-6.918	eV/atom

***

Below is PSe3I after structural relaxation, with properties calculated at the PBE level.

Lattice parameters (Å, degrees): 5.2039 8.0014 9.5586 89.90 76.41 89.87
Closest atoms and distances in Å follow each position.
Space group P1 (No. 1)
One atom of each set of equivalent atoms:
P 0.0000 0.0000 0.0000 x1  3 Se 2.30-2.35
P 0.3742 0.5009 0.2843 x1  3 Se 2.30-2.35
Se 0.0239 0.8205 0.8024 x1  1 P 2.35
Se 0.0725 0.6982 0.3937 x1  1 P 2.30
Se 0.3002 0.1976 0.8904 x1  1 P 2.30
Se 0.3515 0.3210 0.4821 x1  1 P 2.35
Se 0.6181 0.7318 0.3182 x1  1 P 2.31
Se 0.7546 0.2310 0.9657 x1  1 P 2.31
I 0.5040 0.7269 0.8501 x1  2 Se 2.74
I 0.8723 0.2275 0.4345 x1  2 Se 2.74

Computed properties:
crystal system	triclinic
ΔE to the lowest computed polymorph	0.000	eV per atom
formation energy without anion corrections	0.086	eV per atom
uncorrected energy	-3.397	eV/atom

***

Below is SrCr2Sn after structural relaxation, with properties calculated at the PBE level.

Lattice parameters (Å, degrees): 4.7376 4.7376 19.0817 90.00 90.00 90.00
Closest atoms and distances in Å follow each position.
Space group I-42d (No. 122)
One atom of each set of equivalent atoms:
Sr 0.0000 0.0000 0.0000 x4  4 Sn 3.35, 8 Cr 3.53-3.60
Cr 0.0117 0.2500 0.6250 x8  2 Cr 2.37
Sn 0.0000 0.0000 0.5000 x4  4 Cr 2.66

Computed properties:
crystal system	tetragonal
ΔH_f (0 K)	0.702	eV per atom
uncorrected energy	-5.531	eV/atom

***

Below is Nd2Tm5Bi4 after structural relaxation, with properties calculated at the PBE level.

Lattice parameters (Å, degrees): 24.8537 3.4469 8.2004 90.00 93.20 90.00
Closest atoms and distances in Å follow each position.
Space group C2/m (No. 12)
One atom of each set of equivalent atoms:
Nd 0.0528 0.0000 0.1520 x4  2 Bi 3.27-3.29, 4 Tm 3.39-3.64, 3 Nd 3.45-3.52
Tm 0.0000 0.5000 0.5000 x2  4 Bi 3.26, 2 Tm 3.45, 4 Nd 3.64
Tm 0.1499 0.0000 0.4592 x4  4 Bi 3.19-3.33, 1 Nd 3.39, 2 Tm 3.45
Tm 0.1801 0.0000 0.0059 x4  4 Bi 3.09-3.28, 1 Nd 3.44, 2 Tm 3.45
Bi 0.0749 0.0000 0.7628 x4  4 Tm 3.19-3.26, 2 Nd 3.27-3.29, 2 Bi 3.45
Bi 0.2317 0.5000 0.7126 x4  6 Tm 3.09-3.33, 2 Bi 3.45

Computed properties:
crystal system	monoclinic
ΔH_f (0 K)	-0.228	eV per atom
uncorrected energy	-4.539	eV/atom

***

Below is Pm8Pr2Dy3 after structural relaxation, with properties calculated at the PBE level.

Lattice parameters (Å, degrees): 6.2906 6.2973 11.5057 89.97 79.48 80.41
Closest atoms and distances in Å follow each position.
Space group P-1 (No. 2)
One atom of each set of equivalent atoms:
Pm 0.0393 0.0793 0.3492 x2  6 Pm 3.58-3.65, 5 Dy 3.59-3.64, 1 Pr 3.66
Pm 0.1926 0.3815 0.7265 x2  4 Dy 3.58-3.62, 6 Pm 3.63-3.64, 2 Pr 3.68-3.69
Pm 0.3468 0.6922 0.1186 x2  1 Dy 3.62, 7 Pm 3.62-3.71, 4 Pr 3.64-3.67
Pm 0.4230 0.8436 0.8037 x2  2 Dy 3.60-3.61, 7 Pm 3.62-3.71, 3 Pr 3.64-3.68
Pr 0.1163 0.2305 0.0394 x2  10 Pm 3.64-3.69, 2 Pr 3.65
Dy 0.2701 0.5391 0.4249 x2  8 Pm 3.58-3.64, 4 Dy 3.60-3.63
Dy 0.5000 0.0000 0.5000 x1  8 Pm 3.59-3.63, 4 Dy 3.62-3.63

Computed properties:
crystal system	triclinic
ΔE to the lowest computed polymorph	0.000	eV per atom
ΔH_f (0 K)	0.017	eV per atom
uncorrected energy	-4.704	eV/atom

***

Below is Cu2BPt8 after structural relaxation, with properties calculated at the PBE level.

Lattice parameters (Å, degrees): 11.2914 7.3948 4.6622 90.00 113.67 90.00
Closest atoms and distances in Å follow each position.
Space group C2/m (No. 12)
One atom of each set of equivalent atoms:
Cu 0.1720 0.0000 0.4244 x4  1 B 2.14
B 0.0000 0.0000 0.0000 x2  4 Pt 2.05, 2 Cu 2.14
Pt 0.0678 0.5000 0.3186 x4  7 Pt 2.68-2.79, 1 Cu 2.69
Pt 0.0788 0.1883 0.8059 x8  1 B 2.05
Pt 0.2017 0.5000 0.9562 x4  7 Pt 2.64-2.79, 2 Cu 2.66-2.69

Computed properties:
crystal system	monoclinic
ΔH_f (0 K)	0.071	eV per atom
uncorrected energy	-5.674	eV/atom

***

Below is CoNi2Pt4 after structural relaxation, with properties calculated at the PBE level.

Lattice parameters (Å, degrees): 5.3617 8.2749 4.6267 90.00 92.51 90.00
Closest atoms and distances in Å follow each position.
Space group C2/m (No. 12)
One atom of each set of equivalent atoms:
Co 0.0000 0.0000 0.0000 x2  8 Pt 2.47-2.73, 2 Ni 2.58
Ni 0.0868 0.5000 0.2652 x4  2 Ni 2.40-2.59, 2 Pt 2.58, 1 Co 2.58
Pt 0.0000 0.1762 0.5000 x4  7 Pt 2.69-2.95, 2 Co 2.73, 4 Ni 2.83-2.94
Pt 0.2500 0.2500 0.0000 x4  2 Co 2.47, 2 Ni 2.58, 4 Pt 2.68-2.69

Computed properties:
crystal system	monoclinic
ΔH_f (0 K)	0.144	eV per atom
uncorrected energy	-5.975	eV/atom

***

Below is CrSbTe2S after structural relaxation, with properties calculated at the PBE level.

Lattice parameters (Å, degrees): 5.1371 5.1371 5.1604 90.00 90.00 90.00
Closest atoms and distances in Å follow each position.
Space group P4/mmm (No. 123)
One atom of each set of equivalent atoms:
Cr 0.0000 0.0000 0.0000 x1  4 Sb 3.63, 8 Te 3.64
Sb 0.5000 0.5000 0.0000 x1  2 S 2.58
Te 0.0000 0.5000 0.5000 x2  2 S 2.57
S 0.5000 0.5000 0.5000 x1  4 Te 2.57, 2 Sb 2.58

Computed properties:
crystal system	tetragonal
ΔE to the lowest computed polymorph	0.685	eV per atom
formation energy without anion corrections	1.201	eV per atom
uncorrected energy	-3.630	eV/atom

***

Below is SmPt10Pb after structural relaxation, with properties calculated at the PBE level.

Lattice parameters (Å, degrees): 4.4423 5.4330 9.3291 90.00 90.00 90.00
Closest atoms and distances in Å follow each position.
Space group Pmmm (No. 47)
One atom of each set of equivalent atoms:
Sm 0.0000 0.0000 0.0000 x1  14 Pt 3.12-3.46
Pt 0.0000 0.0000 0.3341 x2  6 Pt 2.71-2.72
Pt 0.0000 0.5000 0.1674 x2  6 Pt 2.71-2.72
Pt 0.5000 0.0000 0.5000 x1  8 Pt 2.71-2.73
Pt 0.5000 0.2465 0.2449 x4  8 Pt 2.67-2.75
Pt 0.5000 0.5000 0.0000 x1  8 Pt 2.67-2.72
Pb 0.0000 0.5000 0.5000 x1  6 Pt 3.10-3.13

Computed properties:
crystal system	orthorhombic
ΔH_f (0 K)	-0.396	eV per atom
uncorrected energy	-6.132	eV/atom

***

Below is ErTh3Al8 after structural relaxation, with properties calculated at the PBE level.

Lattice parameters (Å, degrees): 5.6733 5.6733 27.6751 90.00 90.00 120.00
Closest atoms and distances in Å follow each position.
Space group R3m (No. 160, hexagonal axes)
One atom of each set of equivalent atoms:
Er 0.0000 0.0000 0.0000 x3  12 Al 3.30-3.32, 4 Th 3.46-3.47
Th 0.0000 0.0000 0.1250 x3  12 Al 3.32-3.33, 1 Er 3.46, 3 Th 3.47
Th 0.0000 0.0000 0.4995 x3  12 Al 3.32-3.34, 4 Th 3.47-3.49
Th 0.0000 0.0000 0.6254 x3  12 Al 3.29-3.33, 3 Er 3.47, 1 Th 3.49
Al 0.0000 0.0000 0.3130 x3  6 Al 2.81-2.83
Al 0.0000 0.0000 0.8120 x3  6 Al 2.83-2.85
Al 0.0005 0.5003 0.5632 x9  6 Al 2.83-2.85
Al 0.1669 0.3339 0.3952 x9  6 Al 2.81-2.84

Computed properties:
crystal system	trigonal
ΔH_f (0 K)	-0.432	eV per atom
uncorrected energy	-5.162	eV/atom